# 1
A plane-wave DFT calculation with PBE was carried out for crystalline La7Pm12Pr at its relaxed geometry.

```
La7Pm12Pr
1.0
-5.803 5.803 5.803
5.803 -5.803 5.803
5.803 5.803 -5.803
La Pm Pr
7 12 1
direct
0.000 0.000 0.500
0.000 0.500 0.000
0.000 0.500 0.500
0.500 0.000 0.000
0.500 0.000 0.500
0.500 0.500 0.000
0.500 0.500 0.500
0.000 0.249 0.751
0.000 0.751 0.249
0.249 0.000 0.751
0.249 0.249 0.499
0.249 0.499 0.249
0.249 0.751 0.000
0.499 0.249 0.249
0.501 0.751 0.751
0.751 0.000 0.249
0.751 0.249 0.000
0.751 0.501 0.751
0.751 0.751 0.501
0.000 0.000 0.000
```

* total moment: 0.0 μB/cell
* VASP energy: -4.264 eV/atom
* ΔE_f: 1061 kJ/mol of formula units
* SG: Im-3m

=====

# 2
A plane-wave DFT calculation with PBE was carried out for crystalline La3Pm4Pr at its relaxed geometry.

```
La3Pm4Pr
1.0
11.963 0.000 0.000
0.000 7.459 0.000
0.000 0.000 6.450
La Pm Pr
6 8 2
direct
0.000 0.127 0.000
0.250 0.124 0.670
0.250 0.876 0.170
0.500 0.873 0.500
0.750 0.124 0.670
0.750 0.876 0.170
0.000 0.375 0.501
0.000 0.873 0.502
0.249 0.624 0.669
0.251 0.376 0.169
0.500 0.127 0.002
0.500 0.625 0.001
0.749 0.376 0.169
0.751 0.624 0.669
0.000 0.623 0.003
0.500 0.377 0.503
```

* total moment: 0.0 μB/cell
* VASP energy: -4.785 eV/atom
* ΔE_f: 27 kJ/mol of formula units
* SG: Pmn2_1
* excess energy over the best structure of this formula in the dataset: 0.0 meV/atom

=====

# 3
A plane-wave DFT calculation with PBE was carried out for crystalline La2Pm6Pr5 at its relaxed geometry.

```
La2Pm6Pr5
1.0
12.010 0.000 0.000
0.000 21.118 0.000
0.000 0.000 3.690
La Pm Pr
4 12 10
direct
0.177 0.221 0.000
0.323 0.721 0.000
0.677 0.279 0.000
0.823 0.779 0.000
0.064 0.927 0.000
0.073 0.638 0.000
0.183 0.374 0.500
0.317 0.874 0.500
0.427 0.138 0.000
0.436 0.427 0.000
0.564 0.573 0.000
0.573 0.862 0.000
0.683 0.126 0.500
0.817 0.626 0.500
0.927 0.362 0.000
0.936 0.073 0.000
0.000 0.500 0.500
0.081 0.783 0.500
0.200 0.058 0.500
0.300 0.558 0.500
0.419 0.283 0.500
0.500 0.000 0.500
0.581 0.717 0.500
0.700 0.442 0.500
0.800 0.942 0.500
0.919 0.217 0.500
```

* total moment: 0.0 μB/cell
* VASP energy: -4.705 eV/atom
* ΔE_f: 106 kJ/mol of formula units
* SG: Pbam

=====

# 4
A plane-wave DFT calculation with PBE was carried out for crystalline La9PmPr2 at its relaxed geometry.

```
La9PmPr2
1.0
5.248 0.000 0.000
0.000 5.248 0.000
0.000 0.000 15.742
La Pm Pr
9 1 2
direct
0.000 0.000 0.000
0.000 0.000 0.333
0.000 0.000 0.667
0.000 0.500 0.166
0.000 0.500 0.500
0.000 0.500 0.834
0.500 0.000 0.166
0.500 0.000 0.500
0.500 0.000 0.834
0.500 0.500 0.000
0.500 0.500 0.333
0.500 0.500 0.667
```

* total moment: 0.0 μB/cell
* VASP energy: -4.886 eV/atom
* ΔE_f: 2 kJ/mol of formula units
* SG: P4/mmm

=====

# 5
A plane-wave DFT calculation with PBE was carried out for crystalline La5PmPr12 at its relaxed geometry.

```
La5PmPr12
1.0
7.879 -7.881 0.000
7.879 7.881 0.000
0.000 0.000 5.271
La Pm Pr
5 1 12
direct
0.000 0.000 0.000
0.167 0.167 0.500
0.334 0.334 0.000
0.666 0.666 0.000
0.833 0.833 0.500
0.500 0.500 0.500
0.000 0.334 0.000
0.000 0.666 0.000
0.167 0.501 0.500
0.167 0.833 0.500
0.333 0.667 0.000
0.334 0.000 0.000
0.499 0.833 0.500
0.501 0.167 0.500
0.666 0.000 0.000
0.667 0.333 0.000
0.833 0.167 0.500
0.833 0.499 0.500
```

* total moment: 0.0 μB/cell
* VASP energy: -4.807 eV/atom
* ΔE_f: 20 kJ/mol of formula units
* SG: Cmmm

=====

# 6
A plane-wave DFT calculation with PBE was carried out for crystalline La7PmPr3 at its relaxed geometry.

```
La7PmPr3
1.0
7.378 0.000 0.000
-3.689 6.389 0.000
0.000 0.000 8.859
La Pm Pr
7 1 3
direct
0.000 0.000 0.000
0.002 0.501 0.985
0.167 0.335 0.329
0.167 0.833 0.329
0.499 0.501 0.985
0.499 0.998 0.985
0.665 0.833 0.329
0.667 0.333 0.316
0.333 0.167 0.657
0.833 0.167 0.657
0.833 0.667 0.657
```

* total moment: 0.0 μB/cell
* VASP energy: -4.719 eV/atom
* ΔE_f: 161 kJ/mol of formula units
* SG: P3m1

=====

Look up the ΔE_f of the third one. 106 kJ/mol of formula units

=====

Which of these has the lowest ΔE_f? La9PmPr2